[1]
Compound: CaAg2Hg4
Source: Alexandria via LeMat-Bulk
Functional: PBE-GGA
Structure: relaxed

Lattice parameters (Å, degrees): 5.987 5.705 5.987 117.91 103.81 62.09
Sites, in units of the cell vectors:
Ca (0.000, 0.000, 0.000)
Ag (0.500, 0.752, 0.500)
Ag (0.500, 0.248, 0.500)
Hg (0.604, 0.698, 0.997)
Hg (0.396, 0.302, 0.003)
Hg (0.997, 0.302, 0.604)
Hg (0.003, 0.698, 0.396)

## Properties
energy above the most stable polymorph in this dataset	0	meV/atom
space-group type	C2/m (12)
energy relative to the elements	-169	meV per atom
uncorrected energy	-1.442	eV/atom


[2]
Compound: Ca3Ag2Hg4
Source: Alexandria via LeMat-Bulk
Functional: PBE-GGA
Structure: relaxed

Lattice parameters (Å, degrees): 4.881 6.130 9.376 114.97 90.00 113.46
Sites, in units of the cell vectors:
Ca (0.667, 0.334, 0.664)
Ca (0.000, 0.000, 0.000)
Ca (0.333, 0.666, 0.336)
Ag (0.608, 0.216, 0.276)
Ag (0.392, 0.784, 0.724)
Hg (0.716, 0.431, 0.057)
Hg (0.284, 0.569, 0.943)
Hg (0.940, 0.880, 0.610)
Hg (0.060, 0.120, 0.390)

## Properties
energy above the most stable polymorph in this dataset	0	meV/atom
space-group type	C2/m (12)
energy relative to the elements	-396	meV per atom
uncorrected energy	-1.831	eV/atom


[3]
Compound: Ca3Ag7Hg2
Source: Alexandria via LeMat-Bulk
Functional: PBE-GGA
Structure: relaxed

Lattice parameters (Å, degrees): 5.756 5.756 10.045 73.35 73.35 60.00
Sites, in units of the cell vectors:
Ca (0.000, 0.000, 0.000)
Ca (0.859, 0.859, 0.423)
Ca (0.141, 0.141, 0.577)
Ag (0.500, 0.500, 0.500)
Ag (0.917, 0.412, 0.258)
Ag (0.412, 0.917, 0.258)
Ag (0.412, 0.412, 0.258)
Ag (0.083, 0.588, 0.742)
Ag (0.588, 0.588, 0.742)
Ag (0.588, 0.083, 0.742)
Hg (0.667, 0.667, 0.000)
Hg (0.333, 0.333, 0.000)

## Properties
energy above the most stable polymorph in this dataset	0	meV/atom
space-group type	R-3m (166)
energy relative to the elements	-240	meV per atom
uncorrected energy	-2.454	eV/atom


[4]
Compound: CaAgHg2
Source: Alexandria via LeMat-Bulk
Functional: PBE-GGA
Structure: relaxed

Lattice parameters (Å, degrees): 3.781 3.616 7.808 62.17 90.00 90.00
Sites, in units of the cell vectors:
Ca (0.500, 0.750, 0.750)
Hg (0.000, 0.978, 0.024)
Hg (0.000, 0.522, 0.476)
Ag (0.500, 0.250, 0.250)

## Properties
space-group type	P2/m (10)
energy relative to the elements	-293	meV per atom
uncorrected energy	-1.658	eV/atom


[5]
Compound: CaAgHg3
Source: Alexandria via LeMat-Bulk
Functional: PBE-GGA
Structure: relaxed

Lattice parameters (Å, degrees): 5.333 5.333 5.333 90.00 90.00 90.00
Sites, in units of the cell vectors:
Ca (0.500, 0.500, 0.500)
Hg (0.000, 0.500, 0.000)
Hg (0.000, 0.000, 0.500)
Hg (0.500, 0.000, 0.000)
Ag (0.000, 0.000, 0.000)

## Properties
energy above the most stable polymorph in this dataset	319	meV/atom
space-group type	Pm-3m (221)
energy relative to the elements	22	meV per atom
uncorrected energy	-1.130	eV/atom


[6]
Compound: CaAgHg2
Source: Alexandria via LeMat-Bulk
Functional: PBE-GGA
Structure: relaxed

Lattice parameters (Å, degrees): 5.088 5.088 5.088 60.00 60.00 60.00
Sites, in units of the cell vectors:
Ca (0.000, 0.000, 0.000)
Hg (0.250, 0.250, 0.250)
Hg (0.750, 0.750, 0.750)
Ag (0.500, 0.500, 0.500)

## Properties
space-group type	Fm-3m (225)
energy relative to the elements	-324	meV per atom
uncorrected energy	-1.689	eV/atom


[7]
Compound: CaAgHg4
Source: Alexandria via LeMat-Bulk
Functional: PBE-GGA
Structure: relaxed

Lattice parameters (Å, degrees): 5.537 9.017 6.520 90.00 90.00 113.64
Sites, in units of the cell vectors:
Ca (0.663, 0.870, 0.750)
Ca (0.337, 0.130, 0.250)
Ag (0.129, 0.525, 0.750)
Ag (0.871, 0.475, 0.250)
Hg (0.601, 0.490, 0.750)
Hg (0.399, 0.510, 0.250)
Hg (0.318, 0.114, 0.750)
Hg (0.682, 0.886, 0.250)
Hg (0.108, 0.784, 0.011)
Hg (0.892, 0.216, 0.511)
Hg (0.108, 0.784, 0.489)
Hg (0.892, 0.216, 0.989)

## Properties
energy above the most stable polymorph in this dataset	19	meV/atom
space-group type	P2_1/m (11)
energy relative to the elements	-189	meV per atom
uncorrected energy	-1.199	eV/atom


[8]
Compound: Ca2Ag3Hg5
Source: Alexandria via LeMat-Bulk
Functional: PBE-GGA
Structure: relaxed

Lattice parameters (Å, degrees): 6.044 9.585 9.585 89.53 71.62 71.62
Sites, in units of the cell vectors:
Ca (0.129, 0.604, 0.139)
Ca (0.629, 0.139, 0.604)
Ca (0.871, 0.396, 0.861)
Ca (0.371, 0.861, 0.396)
Ag (0.367, 0.490, 0.775)
Ag (0.867, 0.775, 0.490)
Ag (0.633, 0.510, 0.225)
Ag (0.133, 0.225, 0.510)
Ag (0.250, 0.000, 0.000)
Ag (0.750, 0.000, 0.000)
Hg (0.395, 0.262, 0.949)
Hg (0.895, 0.949, 0.262)
Hg (0.605, 0.738, 0.051)
Hg (0.105, 0.051, 0.738)
Hg (0.489, 0.761, 0.761)
Hg (0.511, 0.239, 0.239)
Hg (0.750, 0.500, 0.500)
Hg (0.250, 0.500, 0.500)
Hg (0.011, 0.239, 0.239)
Hg (0.989, 0.761, 0.761)

## Properties
space-group type	Ibam (72)
energy relative to the elements	-185	meV per atom
uncorrected energy	-1.591	eV/atom


[9]
Compound: Ca2Ag2Hg
Source: Alexandria via LeMat-Bulk
Functional: PBE-GGA
Structure: relaxed

Lattice parameters (Å, degrees): 7.836 7.836 4.183 90.00 90.00 90.00
Sites, in units of the cell vectors:
Ca (0.175, 0.675, 0.500)
Ca (0.675, 0.825, 0.500)
Ca (0.825, 0.325, 0.500)
Ca (0.325, 0.175, 0.500)
Hg (0.000, 0.000, 0.000)
Hg (0.500, 0.500, 0.000)
Ag (0.374, 0.874, 0.000)
Ag (0.874, 0.626, 0.000)
Ag (0.626, 0.126, 0.000)
Ag (0.126, 0.374, 0.000)

## Properties
energy above the most stable polymorph in this dataset	0	meV/atom
space-group type	P4/mbm (127)
energy relative to the elements	-349	meV per atom
uncorrected energy	-2.350	eV/atom


[10]
Compound: CaAg2Hg3
Source: Alexandria via LeMat-Bulk
Functional: PBE-GGA
Structure: relaxed

Lattice parameters (Å, degrees): 6.387 6.387 8.633 68.29 68.29 60.00
Sites, in units of the cell vectors:
Ca (0.785, 0.785, 0.644)
Ca (0.215, 0.215, 0.356)
Ag (0.000, 0.000, 0.000)
Ag (0.000, 0.500, 0.000)
Ag (0.500, 0.500, 0.000)
Ag (0.500, 0.000, 0.000)
Hg (0.235, 0.728, 0.308)
Hg (0.728, 0.235, 0.308)
Hg (0.728, 0.728, 0.308)
Hg (0.272, 0.765, 0.692)
Hg (0.765, 0.272, 0.692)
Hg (0.272, 0.272, 0.692)

## Properties
space-group type	R-3m (166)
energy relative to the elements	-158	meV per atom
uncorrected energy	-1.593	eV/atom


[11]
Compound: Ca3Ag2Hg3
Source: Alexandria via LeMat-Bulk
Functional: PBE-GGA
Structure: relaxed

Lattice parameters (Å, degrees): 4.051 7.733 7.733 120.00 90.00 90.00
Sites, in units of the cell vectors:
Ca (0.500, 0.385, 0.385)
Ca (0.500, 0.615, 0.000)
Ca (0.500, 0.000, 0.615)
Ag (0.000, 0.333, 0.667)
Ag (0.000, 0.667, 0.333)
Hg (0.000, 0.751, 0.751)
Hg (0.000, 0.249, 0.000)
Hg (0.000, 0.000, 0.249)

## Properties
energy above the most stable polymorph in this dataset	5	meV/atom
space-group type	P-62m (189)
energy relative to the elements	-394	meV per atom
uncorrected energy	-1.971	eV/atom


[12]
Compound: Ca2Ag6Hg
Source: Alexandria via LeMat-Bulk
Functional: PBE-GGA
Structure: relaxed

Lattice parameters (Å, degrees): 6.707 6.707 6.707 60.00 60.00 60.00
Sites, in units of the cell vectors:
Ca (0.250, 0.250, 0.250)
Ca (0.750, 0.750, 0.750)
Ag (0.712, 0.712, 0.288)
Ag (0.288, 0.712, 0.712)
Ag (0.288, 0.712, 0.288)
Ag (0.288, 0.288, 0.712)
Ag (0.712, 0.288, 0.288)
Ag (0.712, 0.288, 0.712)
Hg (0.000, 0.000, 0.000)

## Properties
space-group type	Fm-3m (225)
energy relative to the elements	-96	meV per atom
uncorrected energy	-2.475	eV/atom


[13]
Compound: CaAg2Hg2
Source: Alexandria via LeMat-Bulk
Functional: PBE-GGA
Structure: relaxed

Lattice parameters (Å, degrees): 4.168 4.168 7.486 73.84 73.84 90.00
Sites, in units of the cell vectors:
Ca (0.000, 0.000, 0.000)
Hg (0.395, 0.395, 0.210)
Hg (0.605, 0.605, 0.790)
Ag (0.750, 0.250, 0.500)
Ag (0.250, 0.750, 0.500)

## Properties
energy above the most stable polymorph in this dataset	58	meV/atom
space-group type	I4/mmm (139)
energy relative to the elements	-185	meV per atom
uncorrected energy	-1.847	eV/atom


[14]
Compound: Ca11Ag4Hg9
Source: Alexandria via LeMat-Bulk
Functional: PBE-GGA
Structure: relaxed

Lattice parameters (Å, degrees): 3.812 13.467 13.467 113.12 90.00 90.00
Sites, in units of the cell vectors:
Ca (0.000, 0.588, 0.930)
Ca (0.000, 0.412, 0.070)
Ca (0.000, 0.930, 0.588)
Ca (0.000, 0.070, 0.412)
Ca (0.000, 0.648, 0.352)
Ca (0.000, 0.352, 0.648)
Ca (0.000, 0.832, 0.168)
Ca (0.000, 0.168, 0.832)
Ca (0.000, 0.000, 0.000)
Ca (0.000, 0.734, 0.734)
Ca (0.000, 0.266, 0.266)
Ag (0.500, 0.550, 0.736)
Ag (0.500, 0.450, 0.264)
Ag (0.500, 0.736, 0.550)
Ag (0.500, 0.264, 0.450)
Hg (0.500, 0.624, 0.143)
Hg (0.500, 0.376, 0.857)
Hg (0.500, 0.143, 0.624)
Hg (0.500, 0.857, 0.376)
Hg (0.500, 0.789, 0.950)
Hg (0.500, 0.211, 0.050)
Hg (0.500, 0.950, 0.789)
Hg (0.500, 0.050, 0.211)
Hg (0.500, 0.500, 0.500)

## Properties
space-group type	Cmmm (65)
energy relative to the elements	-444	meV per atom
uncorrected energy	-1.950	eV/atom


[15]
Compound: Ca2AgHg
Source: Alexandria via LeMat-Bulk
Functional: PBE-GGA
Structure: relaxed

Lattice parameters (Å, degrees): 6.298 6.298 6.298 46.03 46.03 46.03
Sites, in units of the cell vectors:
Ca (0.025, 0.025, 0.025)
Ca (0.224, 0.224, 0.224)
Hg (0.445, 0.445, 0.445)
Ag (0.807, 0.807, 0.807)

## Properties
space-group type	R3m (160)
energy relative to the elements	-241	meV per atom
uncorrected energy	-2.030	eV/atom


[16]
Compound: CaAg5Hg
Source: Alexandria via LeMat-Bulk
Functional: PBE-GGA
Structure: relaxed

Lattice parameters (Å, degrees): 5.707 9.032 11.537 90.00 90.00 90.00
Sites, in units of the cell vectors:
Ca (0.250, 0.243, 0.934)
Ca (0.750, 0.257, 0.434)
Ca (0.250, 0.743, 0.566)
Ca (0.750, 0.757, 0.066)
Ag (0.250, 0.604, 0.021)
Ag (0.750, 0.896, 0.521)
Ag (0.250, 0.104, 0.479)
Ag (0.750, 0.396, 0.979)
Ag (0.750, 0.314, 0.740)
Ag (0.250, 0.186, 0.240)
Ag (0.750, 0.814, 0.760)
Ag (0.250, 0.686, 0.260)
Ag (0.250, 0.932, 0.093)
Ag (0.750, 0.568, 0.593)
Ag (0.250, 0.432, 0.407)
Ag (0.750, 0.068, 0.907)
Ag (0.993, 0.438, 0.189)
Ag (0.007, 0.062, 0.689)
Ag (0.507, 0.938, 0.311)
Ag (0.493, 0.562, 0.811)
Ag (0.007, 0.562, 0.811)
Ag (0.993, 0.938, 0.311)
Ag (0.493, 0.062, 0.689)
Ag (0.507, 0.438, 0.189)
Hg (0.250, 0.861, 0.856)
Hg (0.750, 0.639, 0.356)
Hg (0.250, 0.361, 0.644)
Hg (0.750, 0.139, 0.144)

## Properties
space-group type	Pnma (62)
energy relative to the elements	-132	meV per atom
uncorrected energy	-2.498	eV/atom


[17]
Compound: CaAgHg4
Source: Alexandria via LeMat-Bulk
Functional: PBE-GGA
Structure: relaxed

Lattice parameters (Å, degrees): 5.141 7.109 8.488 90.00 107.63 90.00
Sites, in units of the cell vectors:
Ca (0.834, 0.931, 0.669)
Ca (0.166, 0.431, 0.331)
Ag (0.660, 0.722, 0.320)
Ag (0.340, 0.222, 0.680)
Hg (0.972, 0.265, 0.945)
Hg (0.028, 0.765, 0.055)
Hg (0.474, 0.959, 0.948)
Hg (0.526, 0.459, 0.052)
Hg (0.792, 0.425, 0.584)
Hg (0.208, 0.925, 0.416)
Hg (0.648, 0.132, 0.296)
Hg (0.352, 0.632, 0.704)

## Properties
energy above the most stable polymorph in this dataset	0	meV/atom
space-group type	Cmc2_1 (36)
energy relative to the elements	-208	meV per atom
uncorrected energy	-1.218	eV/atom


[18]
Compound: CaAg3Hg
Source: Alexandria via LeMat-Bulk
Functional: PBE-GGA
Structure: relaxed

Lattice parameters (Å, degrees): 5.624 5.624 5.624 90.00 90.00 90.00
Sites, in units of the cell vectors:
Ca (0.000, 0.000, 0.000)
Hg (0.500, 0.500, 0.500)
Ag (0.000, 0.500, 0.000)
Ag (0.000, 0.000, 0.500)
Ag (0.500, 0.000, 0.000)

## Properties
energy above the most stable polymorph in this dataset	901	meV/atom
space-group type	Pm-3m (221)
energy relative to the elements	740	meV per atom
uncorrected energy	-1.431	eV/atom


[19]
Compound: CaAg2Hg2
Source: Alexandria via LeMat-Bulk
Functional: PBE-GGA
Structure: relaxed

Lattice parameters (Å, degrees): 5.547 6.816 8.753 65.52 64.71 50.67
Sites, in units of the cell vectors:
Ca (0.819, 0.763, 0.221)
Ca (0.181, 0.237, 0.779)
Ag (0.526, 0.657, 0.048)
Ag (0.818, 0.272, 0.527)
Ag (0.474, 0.343, 0.952)
Ag (0.182, 0.728, 0.473)
Hg (0.416, 0.270, 0.367)
Hg (0.923, 0.852, 0.823)
Hg (0.077, 0.148, 0.177)
Hg (0.584, 0.730, 0.633)

## Properties
energy above the most stable polymorph in this dataset	14	meV/atom
space-group type	P-1 (2)
energy relative to the elements	-230	meV per atom
uncorrected energy	-1.891	eV/atom


[20]
Compound: Ca4Ag2Hg
Source: Alexandria via LeMat-Bulk
Functional: PBE-GGA
Structure: relaxed

Lattice parameters (Å, degrees): 5.266 5.266 9.086 73.16 73.16 60.00
Sites, in units of the cell vectors:
Ca (0.874, 0.874, 0.378)
Ca (0.126, 0.126, 0.622)
Ca (0.624, 0.624, 0.129)
Ca (0.376, 0.376, 0.871)
Hg (0.000, 0.000, 0.000)
Ag (0.750, 0.750, 0.750)
Ag (0.250, 0.250, 0.250)

## Properties
space-group type	R-3m (166)
energy relative to the elements	-302	meV per atom
uncorrected energy	-2.303	eV/atom